VASP calculation (PBE) on MnCoRh4 after structural relaxation.

Values from the calculation:
Formation energy = 2.3 eV per formula unit
Symmetry = F-43m, No. 216

Cell: 5.078 5.078 5.078 Å, 60.00 60.00 60.00°
Each line ends with the local moment (μB).
Element x y z (fractional)
Mn (0.000, 0.000, 0.000)  4.03
Rh (0.125, 0.625, 0.625)  0.65
Rh (0.625, 0.625, 0.125)  0.65
Rh (0.625, 0.125, 0.625)  0.65
Rh (0.625, 0.625, 0.625)  0.65
Co (0.250, 0.250, 0.250)  2.18